The following is a DFT calculation (PBE-GGA) of a relaxed MgVP2S crystal.

POSCAR file:
```
MgVP2S
1.0
4.687 0.000 0.000
0.000 4.687 0.000
0.000 0.000 4.669
Mg V P S
1 1 2 1
direct
0.000 0.000 0.000
0.500 0.500 0.500
0.000 0.500 0.000
0.500 0.000 0.000
0.000 0.000 0.500
```

Computed properties:
E above lowest polymorph = 1.055 eV/atom
formation energy (no corrections) = 1.067 eV/atom

The following is a DFT calculation (PBE-GGA) of a relaxed B2TeF crystal.

POSCAR file:
```
B2TeF
1.0
-1.703 1.703 10.005
1.703 -1.703 10.005
1.703 1.703 -10.005
B Te F
4 2 2
direct
0.000 0.000 0.000
0.000 0.000 0.500
0.000 0.500 0.000
0.500 0.000 0.500
0.375 0.625 0.750
0.625 0.375 0.250
0.125 0.875 0.250
0.875 0.125 0.750
```

Computed properties:
E above lowest polymorph = 0.000 eV/atom
formation energy (no corrections) = 0.632 eV/atom

Please write out number 2 again, unchanged.
The following is a DFT calculation (PBE-GGA) of a relaxed B2TeF crystal.

POSCAR file:
```
B2TeF
1.0
-1.703 1.703 10.005
1.703 -1.703 10.005
1.703 1.703 -10.005
B Te F
4 2 2
direct
0.000 0.000 0.000
0.000 0.000 0.500
0.000 0.500 0.000
0.500 0.000 0.500
0.375 0.625 0.750
0.625 0.375 0.250
0.125 0.875 0.250
0.875 0.125 0.750
```

Computed properties:
E above lowest polymorph = 0.000 eV/atom
formation energy (no corrections) = 0.632 eV/atom

> The lowest formation energy (no corrections) belongs to which entry?

B2TeF

> Look up the E above lowest polymorph of the first one.

1.055 eV/atom

> Which of these has the highest E above lowest polymorph?

MgVP2S